Entry from Alexandria: a relaxed Na2CuHgCl5 crystal (PBE).

Lattice parameters (Å, degrees): 3.945 8.656 12.939 90.00 90.00 103.17
Element x y z (fractional)
Na: 0.870 0.739 0.827
Na: 0.083 0.166 0.658
Na: 0.130 0.261 0.327
Na: 0.917 0.834 0.158
Cu: 0.545 0.090 0.929
Cu: 0.455 0.910 0.429
Hg: 0.782 0.563 0.537
Hg: 0.218 0.437 0.037
Cl: 0.374 0.748 0.006
Cl: 0.700 0.400 0.893
Cl: 0.493 0.986 0.768
Cl: 0.274 0.548 0.683
Cl: 0.945 0.890 0.523
Cl: 0.626 0.252 0.506
Cl: 0.300 0.600 0.393
Cl: 0.507 0.014 0.268
Cl: 0.726 0.452 0.183
Cl: 0.055 0.110 0.023

**Spin magnetization**: 0.00 μB/atom
**Density of states at the Fermi level**: 0.3 states/eV/f.u.
**E_form (uncorrected)**: -1.054 eV per atom